1.
Material: LaHfSc
Method: DFT, GGA-PBE
State: optimized geometry

Computed properties:
Relative energy among the computed polymorphs, meV per atom: 0

CIF file:
```
data_LaHfSc
_cell_length_a 3.271
_cell_length_b 3.271
_cell_length_c 15.190
_cell_angle_alpha 90.00
_cell_angle_beta 90.00
_cell_angle_gamma 90.00
_space_group_name_H-M_alt 'P 1'
_space_group_IT_number 1
loop_
_space_group_symop_operation_xyz
'x,y,z'
loop_
_atom_site_label
_atom_site_fract_x
_atom_site_fract_y
_atom_site_fract_z
La1 0.000 0.000 0.000
La2 0.500 0.500 0.500
Hf1 0.000 0.000 0.674
Hf2 0.500 0.500 0.174
Sc1 0.000 0.000 0.312
Sc2 0.500 0.500 0.812
```



2.
Material: Cs2GaS3
Method: DFT, GGA-PBE
State: optimized geometry

Computed properties:
Formation energy without anion corrections, kJ/mol of atoms: -80.2

CIF file:
```
data_Cs2GaS3
_cell_length_a 7.495
_cell_length_b 7.495
_cell_length_c 8.166
_cell_angle_alpha 102.78
_cell_angle_beta 102.78
_cell_angle_gamma 71.57
_space_group_name_H-M_alt 'P 1'
_space_group_IT_number 1
loop_
_space_group_symop_operation_xyz
'x,y,z'
loop_
_atom_site_label
_atom_site_fract_x
_atom_site_fract_y
_atom_site_fract_z
Cs1 0.012 0.670 0.820
Cs2 0.330 0.988 0.680
Cs3 0.670 0.012 0.320
Cs4 0.988 0.330 0.180
Ga1 0.398 0.602 0.250
Ga2 0.602 0.398 0.750
S1 0.150 0.850 0.250
S2 0.352 0.429 0.533
S3 0.429 0.352 0.033
S4 0.571 0.648 0.967
S5 0.648 0.571 0.467
S6 0.850 0.150 0.750
```



no.,raw total energy (eV/atom)
1,-6.946
2,-3.684